Density functional theory data (PBE-GGA) for a relaxed structure of Nd3Er6Tm2Sc.

## Properties
Size of the total moment (μB per formula unit): 0.0
Density (g cm⁻³): 8.1
ΔE_f (eV per formula unit): 0.4
Symmetry: C2/m

Cell lengths 6.1208, 6.1208, 11.6622 Å; angles 95.02, 95.02, 119.98 degrees
With the nearest neighbours (Å) after each atom.
Atoms (fractional coordinates):
Er (0.4114, 0.0803, 0.2428)  1 Sc 3.45, 2 Tm 3.46, 6 Er 3.51-3.55, 3 Nd 3.58-3.60
Er (0.9197, 0.5886, 0.7572)  1 Sc 3.45, 2 Tm 3.46, 6 Er 3.51-3.55, 3 Nd 3.58-3.60
Nd (0.5000, 0.5000, 0.5000)  6 Nd 3.53, 6 Er 3.59
Nd (0.8334, 0.1666, 0.5000)  6 Nd 3.53-3.54, 6 Er 3.58-3.60
Tm (0.6665, 0.3335, 0.0000)  6 Er 3.46, 3 Tm 3.53-3.54, 3 Sc 3.53-3.54
Er (0.2508, 0.2508, 0.7571)  1 Sc 3.45, 2 Tm 3.46, 6 Er 3.51-3.55, 3 Nd 3.59
Er (0.0803, 0.4114, 0.2428)  1 Sc 3.45, 2 Tm 3.46, 6 Er 3.51-3.55, 3 Nd 3.58-3.60
Nd (0.1666, 0.8334, 0.5000)  6 Nd 3.53-3.54, 6 Er 3.58-3.60
Er (0.5886, 0.9197, 0.7572)  1 Sc 3.45, 2 Tm 3.46, 6 Er 3.51-3.55, 3 Nd 3.58-3.60
Tm (0.3335, 0.6665, 0.0000)  6 Er 3.46, 3 Tm 3.53-3.54, 3 Sc 3.53-3.54
Sc (0.0000, 0.0000, 0.0000)  6 Er 3.45, 6 Tm 3.53-3.54
Er (0.7492, 0.7492, 0.2429)  1 Sc 3.45, 2 Tm 3.46, 6 Er 3.51-3.55, 3 Nd 3.59